Entry 1:
Compound: MnSeI
Source: the Alexandria database
Functional: PBE
Structure: optimized geometry

Unit cell a=6.521 b=3.459 c=7.866 alpha=90.00 beta=95.46 gamma=90.00
Space group P2_1/m (No. 11)
Symmetry-distinct sites (fractional):
Mn (0.130, 0.250, 0.083) (multiplicity 2)
Se (0.229, 0.750, 0.895) (multiplicity 2)
I (0.236, 0.750, 0.334) (multiplicity 2)

Output
Calculated total energy   -5.00 eV per atom
Mass density   4.90 g/cm³
Uncorrected formation energy   -0.269 eV/atom
V   177 Å³/cell
Magnetization   3.95 Bohr magnetons per cell



Entry 2:
Compound: RbIn3Pd
Source: the Alexandria database
Functional: PBE
Structure: optimized geometry

Unit cell a=6.175 b=6.175 c=6.175 alpha=90.00 beta=90.00 gamma=90.00
Space group Pm-3m (No. 221)
Symmetry-distinct sites (fractional):
Rb (0.000, 0.000, 0.000) (multiplicity 1)
In (0.000, 0.000, 0.500) (multiplicity 3)
Pd (0.500, 0.500, 0.500) (multiplicity 1)

Output
Calculated total energy   -1.57 eV per atom
Energy above the most stable polymorph in this dataset   1.518 eV/atom
Mass density   3.78 g/cm³
DFT formation energy   1.302 eV per atom
V   235 Å³/cell
Magnetization   0.00 Bohr magnetons per cell



Entry 3:
Compound: TlCr2Rh2
Source: the Alexandria database
Functional: PBE
Structure: optimized geometry

Unit cell a=7.424 b=7.424 c=2.880 alpha=90.00 beta=90.00 gamma=90.00
Space group P4/mbm (No. 127)
Symmetry-distinct sites (fractional):
Tl (0.000, 0.000, 0.000) (multiplicity 2)
Cr (0.161, 0.339, 0.500) (multiplicity 4)
Rh (0.132, 0.632, 0.000) (multiplicity 4)

Output
Calculated total energy   -7.01 eV per atom
Energy above the most stable polymorph in this dataset   0.000 eV/atom
Mass density   10.76 g/cm³
DFT formation energy   0.250 eV per atom
V   159 Å³/cell
Magnetization   9.33 Bohr magnetons per cell